Entry 1:
Density functional theory data (GGA-PBE) for a relaxed Zr2PSe crystal.

Values from the calculation:
The calculation puts the uncorrected formation energy at -1.06 eV/atom. For the size of the total moment, the calculation gives 0.0 μB per formula unit. The space group is Fm-3m. The value obtained for the volume is 18.22 A^3/atom.

Unit cell a=4.6884 b=4.6884 c=4.6884 alpha=60.00 beta=60.00 gamma=60.00
Fractional positions:
P (0.0000, 0.0000, 0.0000)
Se (0.5000, 0.5000, 0.5000)
Zr (0.2500, 0.2500, 0.2500)
Zr (0.7500, 0.7500, 0.7500)

***

Entry 2:
Density functional theory data (GGA-PBE) for a relaxed KSnIr2 crystal.

Values from the calculation:
For the size of the total moment, the calculation gives 0.0 μB per formula unit. The space group is Fm-3m. The calculation puts the electronic total energy at -19.96 eV/cell. The value obtained for the volume is 18.71 A^3/atom.

Unit cell a=4.7302 b=4.7302 c=4.7302 alpha=60.00 beta=60.00 gamma=60.00
Fractional positions:
K (0.0000, 0.0000, 0.0000)
Ir (0.2500, 0.2500, 0.2500)
Ir (0.7500, 0.7500, 0.7500)
Sn (0.5000, 0.5000, 0.5000)

***

Entry 3:
Density functional theory data (GGA-PBE) for a relaxed PmInSnHg crystal.

Values from the calculation:
For the size of the total moment, the calculation gives 0.0 μB per formula unit. The space group is F-43m. The calculation puts the electronic total energy at -12.94 eV/cell. The value obtained for the volume is 26.92 A^3/atom.

Unit cell a=5.3399 b=5.3399 c=5.3399 alpha=60.00 beta=60.00 gamma=60.00
Fractional positions:
In (0.5000, 0.5000, 0.5000)
Hg (0.7500, 0.7500, 0.7500)
Sn (0.2500, 0.2500, 0.2500)
Pm (0.0000, 0.0000, 0.0000)

***

Entry 4:
Density functional theory data (GGA-PBE) for a relaxed YSi3 crystal.

Values from the calculation:
The calculation puts the uncorrected formation energy at -0.28 eV/atom. For the size of the total moment, the calculation gives 0.0 μB per formula unit. The space group is Imma. The value obtained for the volume is 18.42 A^3/atom.

Unit cell a=6.8848 b=5.6369 c=7.5950 alpha=90.00 beta=90.00 gamma=90.00
Fractional positions:
Y (0.5835, 0.0000, 0.7500)
Y (0.0835, 0.5000, 0.2500)
Y (0.9165, 0.5000, 0.7500)
Y (0.4165, 0.0000, 0.2500)
Si (0.0350, 0.0001, 0.7500)
Si (0.5350, 0.4999, 0.2500)
Si (0.4650, 0.5001, 0.7500)
Si (0.9650, 0.9999, 0.2500)
Si (0.7500, 0.2499, 0.0588)
Si (0.2500, 0.2501, 0.9412)
Si (0.7500, 0.7499, 0.4412)
Si (0.2500, 0.7501, 0.5588)
Si (0.2500, 0.7501, 0.9412)
Si (0.7500, 0.7499, 0.0588)
Si (0.2500, 0.2501, 0.5588)
Si (0.7500, 0.2499, 0.4412)

***

Copy entry 3 word for word.
Density functional theory data (GGA-PBE) for a relaxed PmInSnHg crystal.

Values from the calculation:
For the size of the total moment, the calculation gives 0.0 μB per formula unit. The space group is F-43m. The calculation puts the electronic total energy at -12.94 eV/cell. The value obtained for the volume is 26.92 A^3/atom.

Unit cell a=5.3399 b=5.3399 c=5.3399 alpha=60.00 beta=60.00 gamma=60.00
Fractional positions:
In (0.5000, 0.5000, 0.5000)
Hg (0.7500, 0.7500, 0.7500)
Sn (0.2500, 0.2500, 0.2500)
Pm (0.0000, 0.0000, 0.0000)